## A
This record from Alexandria via LeMat-Bulk describes a geometry-optimized SiBiPt structure. The functional is GGA-PBE.

Structure (POSCAR):
```
SiBiPt
1.0
3.539 -2.022 0.000
3.539 2.022 0.000
-2.326 0.000 9.324
Si Bi Pt
2 2 2
direct
0.194 0.194 0.092
0.806 0.806 0.908
0.385 0.385 0.652
0.615 0.615 0.348
0.112 0.112 0.830
0.888 0.888 0.170
```

---

## B
This record from Alexandria via LeMat-Bulk describes a geometry-optimized SiBiPt structure. The functional is GGA-PBE.

Structure (POSCAR):
```
SiBiPt
1.0
4.631 0.000 0.000
0.007 4.741 0.000
2.082 1.240 5.929
Si Bi Pt
2 2 2
direct
0.231 0.331 0.035
0.769 0.669 0.965
0.280 0.755 0.477
0.720 0.245 0.523
0.288 0.851 0.925
0.712 0.149 0.075
```

---

## C
This record from Alexandria via LeMat-Bulk describes a geometry-optimized SiBiPt structure. The functional is GGA-PBE.

Structure (POSCAR):
```
SiBiPt
1.0
3.548 0.000 0.000
0.000 5.560 0.000
0.000 0.000 6.593
Si Bi Pt
2 2 2
direct
0.000 0.036 0.000
0.500 0.964 0.500
0.000 0.421 0.271
0.500 0.579 0.771
0.000 0.190 0.658
0.500 0.810 0.158
```

---

Question: which arrangement is favored energetically? Ranking from most to least stable: A, C, B.

---

## A
This record from Alexandria via LeMat-Bulk describes a geometry-optimized SiBiPt structure. The functional is GGA-PBE.

Structure (POSCAR):
```
SiBiPt
1.0
6.608 0.000 0.000
0.000 6.563 0.000
-2.745 0.000 5.965
Si Bi Pt
4 4 4
direct
0.144 0.148 0.341
0.144 0.352 0.841
0.856 0.648 0.159
0.856 0.852 0.659
0.341 0.622 0.656
0.341 0.878 0.156
0.659 0.122 0.844
0.659 0.378 0.344
0.200 0.025 0.710
0.200 0.475 0.210
0.800 0.525 0.790
0.800 0.975 0.290
```

---

## B
This record from Alexandria via LeMat-Bulk describes a geometry-optimized SiBiPt structure. The functional is GGA-PBE.

Structure (POSCAR):
```
SiBiPt
1.0
3.965 0.000 0.000
-1.983 3.434 0.000
0.000 0.000 9.854
Si Bi Pt
2 2 2
direct
0.000 0.000 0.000
0.333 0.667 0.162
0.333 0.667 0.450
0.667 0.333 0.740
0.000 0.000 0.249
0.333 0.667 0.917
```

---

Question: which arrangement is favored energetically? Ranking from most to least stable: A, B.

---

## A
This record from Alexandria via LeMat-Bulk describes a geometry-optimized SiBiPt structure. The functional is GGA-PBE.

Structure (POSCAR):
```
SiBiPt
1.0
3.595 0.000 0.000
0.000 6.696 0.000
0.000 0.000 5.432
Si Bi Pt
2 2 2
direct
0.000 0.094 0.000
0.500 0.906 0.500
0.000 0.375 0.620
0.500 0.625 0.120
0.000 0.796 0.758
0.500 0.204 0.258
```

---

## B
This record from Alexandria via LeMat-Bulk describes a geometry-optimized SiBiPt structure. The functional is GGA-PBE.

Structure (POSCAR):
```
SiBiPt
1.0
3.429 0.000 0.000
0.000 4.389 0.000
-0.018 0.000 9.053
Si Bi Pt
2 2 2
direct
0.250 0.250 0.035
0.750 0.750 0.965
0.251 0.250 0.365
0.749 0.750 0.635
0.251 0.750 0.149
0.749 0.250 0.851
```

---

Question: which arrangement is favored energetically? Ranking from most to least stable: A, B.

---

## A
This record from Alexandria via LeMat-Bulk describes a geometry-optimized SiBiPt structure. The functional is GGA-PBE.

Structure (POSCAR):
```
SiBiPt
1.0
4.151 0.000 0.000
-0.059 4.166 0.000
-1.919 -2.030 8.061
Si Bi Pt
2 2 2
direct
0.000 0.000 0.000
0.497 0.502 0.002
0.308 0.297 0.599
0.708 0.698 0.403
0.574 0.078 0.156
0.924 0.425 0.847
```

---

## B
This record from Alexandria via LeMat-Bulk describes a geometry-optimized SiBiPt structure. The functional is GGA-PBE.

Structure (POSCAR):
```
SiBiPt
1.0
3.847 0.000 0.000
1.918 4.475 0.000
0.008 0.951 7.604
Si Bi Pt
2 2 2
direct
0.126 0.248 0.457
0.874 0.752 0.543
0.374 0.752 0.136
0.626 0.248 0.864
0.313 0.873 0.714
0.687 0.127 0.286
```

---

Question: which arrangement is favored energetically? Ranking from most to least stable: B, A.

---

## A
This record from Alexandria via LeMat-Bulk describes a geometry-optimized Si2BiPt2 structure. The functional is GGA-PBE.

Structure (POSCAR):
```
Si2BiPt2
1.0
-2.194 2.194 4.738
2.194 -2.194 4.738
2.194 2.194 -4.738
Si Bi Pt
2 1 2
direct
0.126 0.126 0.000
0.874 0.874 0.000
0.500 0.500 0.000
0.250 0.750 0.500
0.750 0.250 0.500
```

---

## B
This record from Alexandria via LeMat-Bulk describes a geometry-optimized Si2BiPt2 structure. The functional is GGA-PBE.

Structure (POSCAR):
```
Si2BiPt2
1.0
-1.984 1.984 5.880
1.984 -1.984 5.880
1.984 1.984 -5.880
Si Bi Pt
2 1 2
direct
0.250 0.750 0.500
0.750 0.250 0.500
0.000 0.000 0.000
0.369 0.369 0.000
0.631 0.631 0.000
```

---

Question: which arrangement is favored energetically? Ranking from most to least stable: B, A.

---

## A
This record from Alexandria via LeMat-Bulk describes a geometry-optimized Sn2BiPt2 structure. The functional is GGA-PBE.

Structure (POSCAR):
```
Sn2BiPt2
1.0
7.960 0.000 0.000
0.000 7.960 0.000
0.000 0.000 3.436
Sn Bi Pt
4 2 4
direct
0.156 0.344 0.000
0.344 0.844 0.000
0.656 0.156 0.000
0.844 0.656 0.000
0.000 0.000 0.500
0.500 0.500 0.500
0.134 0.634 0.500
0.366 0.134 0.500
0.634 0.866 0.500
0.866 0.366 0.500
```

---

## B
This record from Alexandria via LeMat-Bulk describes a geometry-optimized Sn2BiPt2 structure. The functional is GGA-PBE.

Structure (POSCAR):
```
Sn2BiPt2
1.0
-2.422 2.422 5.042
2.422 -2.422 5.042
2.422 2.422 -5.042
Sn Bi Pt
2 1 2
direct
0.138 0.138 0.000
0.862 0.862 0.000
0.500 0.500 0.000
0.250 0.750 0.500
0.750 0.250 0.500
```

---

Question: which arrangement is favored energetically? Ranking from most to least stable: A, B.

---

## A
This record from Alexandria via LeMat-Bulk describes a geometry-optimized Sn2BiPt2 structure. The functional is GGA-PBE.

Structure (POSCAR):
```
Sn2BiPt2
1.0
8.263 0.000 0.000
0.000 8.263 0.000
0.000 0.000 3.229
Sn Bi Pt
4 2 4
direct
0.154 0.346 0.000
0.346 0.846 0.000
0.654 0.154 0.000
0.846 0.654 0.000
0.000 0.000 0.000
0.500 0.500 0.000
0.130 0.630 0.500
0.370 0.130 0.500
0.630 0.870 0.500
0.870 0.370 0.500
```

---

## B
This record from Alexandria via LeMat-Bulk describes a geometry-optimized Sn2BiPt2 structure. The functional is GGA-PBE.

Structure (POSCAR):
```
Sn2BiPt2
1.0
-2.162 2.162 6.091
2.162 -2.162 6.091
2.162 2.162 -6.091
Sn Bi Pt
2 1 2
direct
0.250 0.750 0.500
0.750 0.250 0.500
0.000 0.000 0.000
0.388 0.388 0.000
0.612 0.612 0.000
```

---

Question: which arrangement is favored energetically? Ranking from most to least stable: B, A.

---

## A
This record from Alexandria via LeMat-Bulk describes a geometry-optimized Sr3Bi4Pt2 structure. The functional is GGA-PBE.

Structure (POSCAR):
```
Sr3Bi4Pt2
1.0
5.998 -2.391 0.000
5.998 2.391 0.000
-1.439 0.000 9.557
Sr Bi Pt
3 4 2
direct
0.000 0.000 0.000
0.380 0.380 0.304
0.620 0.620 0.696
0.091 0.091 0.373
0.293 0.293 0.893
0.707 0.707 0.107
0.909 0.909 0.627
0.287 0.287 0.583
0.713 0.713 0.417
```

---

## B
This record from Alexandria via LeMat-Bulk describes a geometry-optimized Sr3Bi4Pt2 structure. The functional is GGA-PBE.

Structure (POSCAR):
```
Sr3Bi4Pt2
1.0
6.312 -2.310 0.000
6.312 2.310 0.000
-5.211 0.000 9.673
Sr Bi Pt
3 4 2
direct
0.000 0.000 0.000
0.313 0.313 0.390
0.687 0.687 0.610
0.009 0.009 0.330
0.267 0.267 0.880
0.733 0.733 0.120
0.991 0.991 0.670
0.393 0.393 0.728
0.607 0.607 0.272
```

---

Question: which arrangement is favored energetically? Ranking from most to least stable: A, B.